Here is a relaxed Li3TlF6 crystal from Alexandria. Energies are from PBEsol.

As for the raw formation energy: -2.218 eV per atom.

Unit cell a=5.7488 b=5.7488 c=5.7488 alpha=60.00 beta=60.00 gamma=60.00
Sites, in units of the cell vectors:
1 Li 0.0000 0.0000 0.0000
2 Li 0.2500 0.2500 0.2500
3 Li 0.7500 0.7500 0.7500
4 Tl 0.5000 0.5000 0.5000
5 F 0.2376 0.2376 0.7624
6 F 0.2376 0.7624 0.2376
7 F 0.2376 0.7624 0.7624
8 F 0.7624 0.2376 0.2376
9 F 0.7624 0.2376 0.7624
10 F 0.7624 0.7624 0.2376